(1)
First-principles (PBE) data for a relaxed KNaMg6 crystal, as listed in Alexandria via LeMat-Bulk.

POSCAR file:
```
KNaMg6
1.0
3.2505 -6.3734 0.0000
3.2505 6.3734 0.0000
0.0000 0.0000 5.4375
K Mg Na
1 6 1
direct
0.8195 0.1805 0.5000
0.1673 0.8327 0.0000
0.6879 0.8055 0.0000
0.3230 0.1721 0.5000
0.1945 0.3121 0.0000
0.8279 0.6770 0.5000
0.6502 0.3498 0.0000
0.3297 0.6703 0.5000
```

Values from the calculation:
N(E_F) (states/eV/cell): 5.45
V (Å³/f.u.): 225.3
Distance to the lowest polymorph of the same formula (kJ/mol of atoms): 0.00

(2)
First-principles (PBE) data for a relaxed KNa2Mg crystal, as listed in Alexandria via LeMat-Bulk.

POSCAR file:
```
KNa2Mg
1.0
3.7139 0.0000 0.0000
1.8569 3.2163 0.0000
1.8569 1.0721 13.7460
Na K Mg
2 1 1
direct
0.0793 0.0793 0.7621
0.9207 0.9207 0.2379
0.5000 0.5000 0.5000
0.0000 0.0000 0.0000
```

Values from the calculation:
N(E_F) (states/eV/cell): 2.39
V (Å³/f.u.): 164.2
Energy (eV per atom): -1.0848

(3)
First-principles (PBE) data for a relaxed K2NaMg2 crystal, as listed in Alexandria via LeMat-Bulk.

POSCAR file:
```
K2NaMg2
1.0
4.2763 0.0000 0.0000
0.0000 4.2763 0.0000
2.1381 2.1381 12.3566
Mg Na K
2 1 2
direct
0.7500 0.2500 0.5000
0.2500 0.7500 0.5000
0.0000 0.0000 0.0000
0.6170 0.6170 0.7660
0.3830 0.3830 0.2340
```

Values from the calculation:
N(E_F) (states/eV/cell): 3.37
V (Å³/f.u.): 226.0
Distance to the lowest polymorph of the same formula (kJ/mol of atoms): 0.00

(4)
First-principles (PBE) data for a relaxed KNa2Mg crystal, as listed in Alexandria via LeMat-Bulk.

POSCAR file:
```
KNa2Mg
1.0
5.2369 0.0000 0.0000
0.0000 5.2369 0.0000
2.6184 2.6184 12.5333
Na Mg K
4 2 2
direct
0.5868 0.1250 0.2500
0.1632 0.6250 0.2500
0.8750 0.8368 0.7500
0.3750 0.4132 0.7500
0.2500 0.7500 0.5000
0.5000 0.5000 0.0000
0.7500 0.2500 0.5000
0.0000 0.0000 0.0000
```

Values from the calculation:
N(E_F) (states/eV/cell): 5.19
V (Å³/f.u.): 171.9
Energy (eV per atom): -1.1163

(5)
First-principles (PBE) data for a relaxed K2NaMg2 crystal, as listed in Alexandria via LeMat-Bulk.

POSCAR file:
```
K2NaMg2
1.0
10.8118 0.0000 0.0000
0.0000 10.8118 0.0000
0.0000 0.0000 3.7359
Mg K Na
4 4 2
direct
0.8982 0.3982 0.5000
0.3982 0.1018 0.5000
0.1018 0.6018 0.5000
0.6018 0.8982 0.5000
0.8122 0.6878 0.0000
0.3122 0.8122 0.0000
0.6878 0.1878 0.0000
0.1878 0.3122 0.0000
0.5000 0.5000 0.0000
0.0000 0.0000 0.0000
```

Values from the calculation:
N(E_F) (states/eV/cell): 3.96
V (Å³/f.u.): 218.4
Distance to the lowest polymorph of the same formula (kJ/mol of atoms): 6.19

(6)
First-principles (PBE) data for a relaxed KNa3Mg crystal, as listed in Alexandria via LeMat-Bulk.

POSCAR file:
```
KNa3Mg
1.0
6.3621 0.0000 0.0000
0.0000 6.3621 0.0000
0.0000 0.0000 6.3621
Mg Na K
1 3 1
direct
0.5000 0.5000 0.5000
0.0000 0.0000 0.5000
0.5000 0.0000 0.0000
0.0000 0.5000 0.0000
0.0000 0.0000 0.0000
```

Values from the calculation:
N(E_F) (states/eV/cell): 2.98
V (Å³/f.u.): 257.5
Distance to the lowest polymorph of the same formula (kJ/mol of atoms): 35.18

(7)
First-principles (PBE) data for a relaxed KNa14Mg crystal, as listed in Alexandria via LeMat-Bulk.

POSCAR file:
```
KNa14Mg
1.0
7.6630 -0.0158 0.0000
0.0168 7.6630 0.0000
0.0000 0.0000 10.1957
Na Mg K
14 1 1
direct
0.6089 0.1411 0.2500
0.1411 0.6089 0.7500
0.3750 0.8750 0.0000
0.1412 0.1412 0.7499
0.3750 0.8750 0.5000
0.8750 0.8750 0.0000
0.8750 0.3750 0.5000
0.6088 0.6088 0.2500
0.1412 0.1412 0.2501
0.6089 0.1411 0.7500
0.8750 0.3750 0.0000
0.3750 0.3750 0.0000
0.6088 0.6088 0.7500
0.1411 0.6089 0.2500
0.3750 0.3750 0.5000
0.8750 0.8750 0.5000
```

Values from the calculation:
N(E_F) (states/eV/cell): 7.84
V (Å³/f.u.): 598.7
Energy (eV per atom): -1.2843

(8)
First-principles (PBE) data for a relaxed KNaMg4 crystal, as listed in Alexandria via LeMat-Bulk.

POSCAR file:
```
KNaMg4
1.0
6.3875 0.0000 0.0000
3.1937 5.5317 0.0000
3.1937 1.8439 5.2154
Mg Na K
4 1 1
direct
0.1222 0.6259 0.6259
0.6259 0.6259 0.1222
0.6259 0.6259 0.6259
0.6259 0.1222 0.6259
0.0000 0.0000 0.0000
0.2500 0.2500 0.2500
```

Values from the calculation:
N(E_F) (states/eV/cell): 2.47
V (Å³/f.u.): 184.3
Energy (eV per atom): -1.3655